VASP calculation (PBE-GGA) on a relaxed structure of Er8SbTe2.

Lattice parameters (Å, degrees): 7.9816 7.9816 5.8743 97.63 97.63 117.15
Closest atoms and distances in Å follow each position.
Positions (direct):
1 Er 0.0847 0.3143 0.6428  2 Te 3.03-3.08, 2 Er 3.13-3.32, 1 Sb 3.37
2 Er 0.2424 0.7576 0.0000  2 Te 3.06, 1 Sb 3.30
3 Er 0.3143 0.0847 0.6428  2 Te 3.03-3.08, 2 Er 3.13-3.32, 1 Sb 3.37
4 Er 0.3985 0.3985 0.2003  2 Te 3.17, 1 Sb 3.22, 2 Er 3.23-3.50
5 Er 0.6015 0.6015 0.7997  2 Te 3.17, 1 Sb 3.22, 2 Er 3.23-3.50
6 Er 0.6857 0.9153 0.3572  2 Te 3.03-3.08, 2 Er 3.13-3.32, 1 Sb 3.37
7 Er 0.7576 0.2424 0.0000  2 Te 3.06, 1 Sb 3.30
8 Er 0.9153 0.6857 0.3572  2 Te 3.03-3.08, 2 Er 3.13-3.32, 1 Sb 3.37
9 Sb 0.0000 0.0000 0.0000  8 Er 3.22-3.37
10 Te 0.3054 0.6946 0.5000  8 Er 3.03-3.17
11 Te 0.6946 0.3054 0.5000  8 Er 3.03-3.17

space-group type	C2/m, No. 12
ΔE_f (raw)	-0.458	eV per atom